(1)
This record from Alexandria via LeMat-Bulk describes crystalline Rb3PuU2Te6 at its relaxed geometry. The functional is PBE.

Unit cell a=7.911 b=13.703 c=8.971 alpha=90.00 beta=107.10 gamma=90.00
Space group C2/m (No. 12)
Unique sites:
Rb 0.000 0.000 0.000 x2
Rb 0.000 0.335 0.000 x4
Pu 0.000 0.500 0.500 x2
U 0.000 0.167 0.500 x4
Te 0.229 0.000 0.701 x4
Te 0.236 0.331 0.702 x8

## Properties
Formation energy without anion corrections (kJ/mol of atoms): -90.6
DOS at the Fermi energy (states/eV/atom): 2.482

=====

(2)
This record from Alexandria via LeMat-Bulk describes crystalline Rb3Pu2UTe6 at its relaxed geometry. The functional is PBE.

Unit cell a=7.957 b=13.783 c=8.927 alpha=90.00 beta=107.29 gamma=90.00
Space group C2/m (No. 12)
Unique sites:
Rb 0.000 0.000 0.000 x2
Rb 0.000 0.332 0.000 x4
Pu 0.000 0.167 0.500 x4
U 0.000 0.500 0.500 x2
Te 0.230 0.336 0.700 x8
Te 0.240 0.000 0.700 x4

## Properties
Formation energy without anion corrections (kJ/mol of atoms): -99.8
DOS at the Fermi energy (states/eV/atom): 2.844